Entry 1:
Compound: PuNbSi2
Source: Alexandria via LeMat-Bulk
Functional: PBE
Structure: relaxed

a b c (Å): 3.6707 3.6707 20.4852
angles (deg): 90.00 90.00 120.00
With the nearest neighbours (Å) after each atom.
Fractional coordinates of all 12 atoms:
Pu 0.0000 0.0000 0.0000  6 Si 2.85
Pu 0.3333 0.6667 0.6667  6 Si 2.85
Pu 0.6667 0.3333 0.3333  6 Si 2.85
Nb 0.0000 0.0000 0.5000  6 Si 2.60
Nb 0.3333 0.6667 0.1667  6 Si 2.60
Nb 0.6667 0.3333 0.8333  6 Si 2.60
Si 0.0000 0.0000 0.2401  3 Nb 2.60, 3 Pu 2.85
Si 0.0000 0.0000 0.7599  3 Nb 2.60, 3 Pu 2.85
Si 0.3333 0.6667 0.4265  3 Nb 2.60, 3 Pu 2.85
Si 0.3333 0.6667 0.9068  3 Nb 2.60, 3 Pu 2.85
Si 0.6667 0.3333 0.0932  3 Nb 2.60, 3 Pu 2.85
Si 0.6667 0.3333 0.5735  3 Nb 2.60, 3 Pu 2.85

Summary:
For the uncorrected energy, the calculation gives -36.3 eV per formula unit. The calculation puts the uncorrected formation energy at -263 meV per atom. As for the space group: R-3m (166). As for the density of states at the Fermi level: 10.4 states/eV/f.u.

Entry 2:
Compound: Pu2Nb3Si4
Source: Alexandria via LeMat-Bulk
Functional: PBE
Structure: relaxed

a b c (Å): 7.0511 7.0545 6.9325
angles (deg): 90.00 109.39 90.00
With the nearest neighbours (Å) after each atom.
Fractional coordinates of all 18 atoms:
Pu 0.1811 0.1624 0.0621  7 Si 2.83-3.09
Pu 0.1811 0.3376 0.5621  7 Si 2.83-3.09
Pu 0.8189 0.6624 0.4379  7 Si 2.83-3.09
Pu 0.8189 0.8376 0.9379  7 Si 2.83-3.09
Nb 0.2552 0.6763 0.2488  6 Si 2.61-2.71
Nb 0.2552 0.8237 0.7488  6 Si 2.61-2.71
Nb 0.5000 0.0000 0.5000  6 Si 2.74-2.78, 2 Nb 3.04
Nb 0.5000 0.5000 0.0000  6 Si 2.74-2.78, 2 Nb 3.04
Nb 0.7448 0.1763 0.2512  6 Si 2.61-2.71
Nb 0.7448 0.3237 0.7512  6 Si 2.61-2.71
Si 0.0840 0.5375 0.8707  1 Si 2.51, 4 Nb 2.63-2.78
Si 0.0840 0.9625 0.3707  1 Si 2.51, 4 Nb 2.63-2.78
Si 0.4903 0.1275 0.8697  1 Si 2.52, 5 Nb 2.61-2.77
Si 0.4903 0.3725 0.3697  1 Si 2.52, 5 Nb 2.61-2.77
Si 0.5097 0.6275 0.6303  1 Si 2.52, 5 Nb 2.61-2.77
Si 0.5097 0.8725 0.1303  1 Si 2.52, 5 Nb 2.61-2.77
Si 0.9160 0.0375 0.6293  1 Si 2.51, 4 Nb 2.63-2.78
Si 0.9160 0.4625 0.1293  1 Si 2.51, 4 Nb 2.63-2.78

Summary:
For the uncorrected energy, the calculation gives -86.3 eV per formula unit. The calculation puts the uncorrected formation energy at -633 meV per atom. As for the space group: P2_1/c (14). As for the density of states at the Fermi level: 17.0 states/eV/f.u.

Entry 3:
Compound: SmPuNb
Source: Alexandria via LeMat-Bulk
Functional: PBE
Structure: relaxed

a b c (Å): 10.1846 5.4986 6.3173
angles (deg): 90.00 122.81 90.00
With the nearest neighbours (Å) after each atom.
Fractional coordinates of all 12 atoms:
Sm 0.0421 0.0000 0.2805  3 Nb 3.09-3.14, 2 Sm 3.16-3.32, 3 Pu 3.27-3.31
Sm 0.4579 0.5000 0.7195  3 Nb 3.09-3.14, 2 Sm 3.16-3.32, 3 Pu 3.27-3.31
Sm 0.5421 0.5000 0.2805  3 Nb 3.09-3.14, 2 Sm 3.16-3.32, 3 Pu 3.27-3.31
Sm 0.9579 0.0000 0.7195  3 Nb 3.09-3.14, 2 Sm 3.16-3.32, 3 Pu 3.27-3.31
Pu 0.1505 0.5000 0.7573  1 Nb 2.73, 1 Pu 3.03
Pu 0.3495 0.0000 0.2427  1 Nb 2.73, 1 Pu 3.03
Pu 0.6505 0.0000 0.7573  1 Nb 2.73, 1 Pu 3.03
Pu 0.8495 0.5000 0.2427  1 Nb 2.73, 1 Pu 3.03
Nb 0.1532 0.5000 0.1924  1 Nb 2.72, 1 Pu 2.73
Nb 0.3468 0.0000 0.8076  1 Nb 2.72, 1 Pu 2.73
Nb 0.6532 0.0000 0.1924  1 Nb 2.72, 1 Pu 2.73
Nb 0.8468 0.5000 0.8076  1 Nb 2.72, 1 Pu 2.73

Summary:
For the uncorrected energy, the calculation gives -28.0 eV per formula unit. Its calculated formation energy is 0.36 eV/atom. As for the space group: C2/m (12). As for the density of states at the Fermi level: 7.9 states/eV/f.u.

- Look up the uncorrected energy of the third one.
  -28.0 eV per formula unit

Repeat the third record exactly.
Compound: SmPuNb
Source: Alexandria via LeMat-Bulk
Functional: PBE
Structure: relaxed

a b c (Å): 10.1846 5.4986 6.3173
angles (deg): 90.00 122.81 90.00
With the nearest neighbours (Å) after each atom.
Fractional coordinates of all 12 atoms:
Sm 0.0421 0.0000 0.2805  3 Nb 3.09-3.14, 2 Sm 3.16-3.32, 3 Pu 3.27-3.31
Sm 0.4579 0.5000 0.7195  3 Nb 3.09-3.14, 2 Sm 3.16-3.32, 3 Pu 3.27-3.31
Sm 0.5421 0.5000 0.2805  3 Nb 3.09-3.14, 2 Sm 3.16-3.32, 3 Pu 3.27-3.31
Sm 0.9579 0.0000 0.7195  3 Nb 3.09-3.14, 2 Sm 3.16-3.32, 3 Pu 3.27-3.31
Pu 0.1505 0.5000 0.7573  1 Nb 2.73, 1 Pu 3.03
Pu 0.3495 0.0000 0.2427  1 Nb 2.73, 1 Pu 3.03
Pu 0.6505 0.0000 0.7573  1 Nb 2.73, 1 Pu 3.03
Pu 0.8495 0.5000 0.2427  1 Nb 2.73, 1 Pu 3.03
Nb 0.1532 0.5000 0.1924  1 Nb 2.72, 1 Pu 2.73
Nb 0.3468 0.0000 0.8076  1 Nb 2.72, 1 Pu 2.73
Nb 0.6532 0.0000 0.1924  1 Nb 2.72, 1 Pu 2.73
Nb 0.8468 0.5000 0.8076  1 Nb 2.72, 1 Pu 2.73

Summary:
For the uncorrected energy, the calculation gives -28.0 eV per formula unit. Its calculated formation energy is 0.36 eV/atom. As for the space group: C2/m (12). As for the density of states at the Fermi level: 7.9 states/eV/f.u.

- uncorrected energy of number 3 (SmPuNb)?
  -28.0 eV per formula unit

- Look up the uncorrected energy of the first one.
  -36.3 eV per formula unit